VASP calculation (PBE with a Hubbard U) on a relaxed structure of RbV2HO6.

Computed properties:
Final energy = -6.65 eV/atom
Symmetry = C2/c

a b c (Å): 8.462 8.462 5.979
angles (deg): 99.54 99.54 102.80
Fractional positions:
Rb 0.166 0.834 0.750
Rb 0.834 0.166 0.250
V 0.211 0.341 0.799
V 0.341 0.211 0.299
V 0.659 0.789 0.701
V 0.789 0.659 0.201
H 0.071 0.929 0.250
H 0.929 0.071 0.750
O 0.039 0.173 0.715
O 0.152 0.514 0.816
O 0.173 0.039 0.215
O 0.326 0.333 0.078
O 0.333 0.326 0.578
O 0.486 0.848 0.684
O 0.514 0.152 0.316
O 0.667 0.674 0.422
O 0.674 0.667 0.922
O 0.827 0.961 0.785
O 0.848 0.486 0.184
O 0.961 0.827 0.285